DFT (GGA-PBE) results for crystalline SmB2PbO6 at its relaxed geometry.

## Properties
ρ	5807	kg/m³
D(E_F)	0.114	states/eV/atom
uncorrected formation energy	-23.5	eV/f.u.
total magnetic moment	0.0	μB per formula unit

Unit cell a=8.200 b=10.296 c=6.727 alpha=90.00 beta=106.87 gamma=90.00
Space group C2/c (No. 15)
One atom of each set of equivalent atoms:
Sm1 0.000 0.086 0.250 [4 per cell]
B1 0.249 0.156 0.749 [8 per cell]
Pb1 0.000 0.403 0.750 [4 per cell]
O1 0.114 0.093 0.612 [8 per cell]
O2 0.123 0.421 0.119 [8 per cell]
O3 0.236 0.211 0.240 [8 per cell]

DFT (GGA-PBE) results for crystalline SnB2PbO at its relaxed geometry.

## Properties
ρ	6848	kg/m³
D(E_F)	0.562	states/eV/atom
uncorrected formation energy	5.1	eV/f.u.
total magnetic moment	0.0	μB per formula unit

Unit cell a=4.545 b=4.545 c=4.268 alpha=90.00 beta=90.00 gamma=90.00
Space group P4/mmm (No. 123)
One atom of each set of equivalent atoms:
Sn1 0.000 0.000 0.000 [1 per cell]
B1 0.000 0.500 0.000 [2 per cell]
Pb1 0.500 0.500 0.500 [1 per cell]
O1 0.000 0.000 0.500 [1 per cell]

DFT (GGA-PBE) results for crystalline Sr2B2PbO6 at its relaxed geometry.

## Properties
ρ	5419	kg/m³
D(E_F)	0.000	states/eV/atom
uncorrected formation energy	-26.8	eV/f.u.
total magnetic moment	0.0	μB per formula unit

Unit cell a=9.494 b=5.377 c=6.791 alpha=90.00 beta=117.88 gamma=90.00
Space group C2/m (No. 12)
One atom of each set of equivalent atoms:
Sr1 0.201 0.000 0.180 [4 per cell]
B1 0.035 0.500 0.236 [4 per cell]
Pb1 0.000 0.000 0.500 [2 per cell]
O1 0.053 0.278 0.825 [8 per cell]
O2 0.198 0.500 0.362 [4 per cell]

DFT (GGA-PBE) results for crystalline SrB4Pb3O12 at its relaxed geometry.

## Properties
ρ	5789	kg/m³
D(E_F)	0.169	states/eV/atom
uncorrected formation energy	-37.9	eV/f.u.
total magnetic moment	0.0	μB per formula unit

Unit cell a=10.3688 b=10.3688 c=8.7291 alpha=90.00 beta=90.00 gamma=120.00
Space group R32 (No. 155, hexagonal axes)
One atom of each set of equivalent atoms:
Sr1 0.0000 0.0000 0.0000 [3 per cell]
B1 0.0000 0.0000 0.5000 [3 per cell]
B2 0.0000 0.4661 0.5000 [9 per cell]
Pb1 0.0000 0.5284 0.0000 [9 per cell]
O1 0.0000 0.6021 0.5000 [9 per cell]
O2 0.0000 0.8662 0.5000 [9 per cell]
O3 0.0051 0.1970 0.8197 [18 per cell]

DFT (GGA-PBE) results for crystalline Sr2BPbO5 at its relaxed geometry.

## Properties
ρ	5862	kg/m³
D(E_F)	0.290	states/eV/atom
uncorrected formation energy	-18.3	eV/f.u.
total magnetic moment	0.8	μB per formula unit

Unit cell a=3.487 b=13.552 c=11.347 alpha=90.00 beta=90.00 gamma=90.00
Space group Cmc2_1 (No. 36)
One atom of each set of equivalent atoms:
Sr1 0.000 0.103 0.000 [4 per cell]
Sr2 0.000 0.143 0.697 [4 per cell]
B1 0.000 0.438 0.725 [4 per cell]
Pb1 0.000 0.176 0.404 [4 per cell]
O1 0.000 0.023 0.313 [4 per cell]
O2 0.000 0.291 0.039 [4 per cell]
O3 0.000 0.335 0.359 [4 per cell]
O4 0.000 0.339 0.736 [4 per cell]
O5 0.000 0.499 0.631 [4 per cell]

DFT (GGA-PBE) results for crystalline SrBPbO4 at its relaxed geometry.

## Properties
ρ	6347	kg/m³
D(E_F)	0.221	states/eV/atom
uncorrected formation energy	-13.9	eV/f.u.
total magnetic moment	0.2	μB per formula unit

Unit cell a=5.943 b=9.336 c=6.972 alpha=90.00 beta=90.00 gamma=90.00
Space group Cmcm (No. 63)
One atom of each set of equivalent atoms:
Sr1 0.000 0.000 0.000 [4 per cell]
B1 0.000 0.364 0.250 [4 per cell]
Pb1 0.000 0.331 0.750 [4 per cell]
O1 0.000 0.261 0.088 [8 per cell]
O2 0.203 0.462 0.250 [8 per cell]

DFT (GGA-PBE) results for crystalline TaBPbO5 at its relaxed geometry.

## Properties
ρ	8094	kg/m³
D(E_F)	0.000	states/eV/atom
uncorrected formation energy	-17.7	eV/f.u.
total magnetic moment	0.0	μB per formula unit

Unit cell a=6.726 b=8.763 c=7.396 alpha=90.00 beta=115.62 gamma=90.00
Space group C2/c (No. 15)
One atom of each set of equivalent atoms:
Ta1 0.000 0.000 0.000 [4 per cell]
B1 0.000 0.313 0.250 [4 per cell]
Pb1 0.000 0.340 0.750 [4 per cell]
O1 0.000 0.067 0.750 [4 per cell]
O2 0.078 0.213 0.125 [8 per cell]
O3 0.187 0.417 0.386 [8 per cell]

DFT (GGA-PBE) results for crystalline TcB2PbO8 at its relaxed geometry.

## Properties
ρ	5629	kg/m³
D(E_F)	0.394	states/eV/atom
uncorrected formation energy	-18.0	eV/f.u.
total magnetic moment	0.2	μB per formula unit

Unit cell a=7.772 b=5.098 c=6.774 alpha=90.00 beta=90.68 gamma=90.00
Space group C2/m (No. 12)
One atom of each set of equivalent atoms:
Tc1 0.000 0.000 0.000 [2 per cell]
B1 0.149 0.500 0.234 [4 per cell]
Pb1 0.000 0.000 0.500 [2 per cell]
O1 0.039 0.260 0.210 [8 per cell]
O2 0.225 0.500 0.426 [4 per cell]
O3 0.226 0.000 0.929 [4 per cell]

DFT (GGA-PBE) results for crystalline TcBPbO6 at its relaxed geometry.

## Properties
ρ	4992	kg/m³
uncorrected formation energy	-13.4	eV/f.u.
total magnetic moment	0.0	μB per formula unit

Unit cell a=5.046 b=5.088 c=5.561 alpha=84.54 beta=74.99 gamma=85.62
Space group P1 (No. 1)
One atom of each set of equivalent atoms:
Tc1 0.000 0.000 0.000 [1 per cell]
B1 0.104 0.057 0.509 [1 per cell]
Pb1 0.612 0.554 0.632 [1 per cell]
O1 0.103 0.142 0.264 [1 per cell]
O2 0.255 0.169 0.639 [1 per cell]
O3 0.288 0.762 0.946 [1 per cell]
O4 0.744 0.795 0.159 [1 per cell]
O5 0.797 0.293 0.941 [1 per cell]
O6 0.927 0.873 0.651 [1 per cell]

DFT (GGA-PBE) results for crystalline BTePb2O at its relaxed geometry.

## Properties
ρ	7934	kg/m³
D(E_F)	0.436	states/eV/atom
uncorrected formation energy	3.1	eV/f.u.
total magnetic moment	0.0	μB per formula unit

Unit cell a=5.088 b=5.088 c=4.599 alpha=90.00 beta=90.00 gamma=90.00
Space group P4/mmm (No. 123)
One atom of each set of equivalent atoms:
B1 0.000 0.000 0.000 [1 per cell]
Te1 0.500 0.500 0.000 [1 per cell]
Pb1 0.000 0.500 0.500 [2 per cell]
O1 0.500 0.500 0.500 [1 per cell]

DFT (GGA-PBE) results for crystalline B2TePbO at its relaxed geometry.

## Properties
ρ	6557	kg/m³
D(E_F)	0.111	states/eV/atom
uncorrected formation energy	6.4	eV/f.u.
total magnetic moment	0.0	μB per formula unit

Unit cell a=4.417 b=4.417 c=4.835 alpha=90.00 beta=90.00 gamma=90.00
Space group P4/mmm (No. 123)
One atom of each set of equivalent atoms:
B1 0.000 0.500 0.000 [2 per cell]
Te1 0.000 0.000 0.500 [1 per cell]
Pb1 0.500 0.500 0.500 [1 per cell]
O1 0.500 0.500 0.000 [1 per cell]

DFT (GGA-PBE) results for crystalline Tl3B4PbO12 at its relaxed geometry.

## Properties
ρ	6846	kg/m³
D(E_F)	0.164	states/eV/atom
uncorrected formation energy	-31.0	eV/f.u.
total magnetic moment	0.0	μB per formula unit

Unit cell a=10.2430 b=10.2430 c=8.4541 alpha=90.00 beta=90.00 gamma=120.00
Space group R32 (No. 155, hexagonal axes)
One atom of each set of equivalent atoms:
Tl1 0.0000 0.5339 0.0000 [9 per cell]
B1 0.0000 0.0000 0.5000 [3 per cell]
B2 0.0000 0.4637 0.5000 [9 per cell]
Pb1 0.0000 0.0000 0.0000 [3 per cell]
O1 0.0000 0.5978 0.5000 [9 per cell]
O2 0.0000 0.8653 0.5000 [9 per cell]
O3 0.0041 0.2004 0.1708 [18 per cell]